## BaHfP2C (GGA-PBEsol)

Data for a relaxed structure of BaHfP2C.

Values from the calculation:
calculated total energy	-5.52	eV per atom
M_tot	2.7	μB per cell

a = 4.8188 Å, b = 4.8188 Å, c = 6.6152 Å
α = 90.00°, β = 90.00°, γ = 90.00°
Closest atoms and distances in Å follow each position.
Space group P4/mmm (No. 123)
Inequivalent atoms, fractional coordinates:
Ba 0.0000 0.0000 0.0000 [1 per cell]  2 Hf 3.31, 4 C 3.41
Hf 0.0000 0.0000 0.5000 [1 per cell]  4 P 2.41
P 0.0000 0.5000 0.5000 [2 per cell]  2 Hf 2.41
C 0.5000 0.5000 0.0000 [1 per cell]  4 Ba 3.41